! KHgRh2 (PBE, optimized geometry); values from VASP
! - Formation energy: 2.4 eV per formula unit
! - Magnetization: 0.159 μB/atom
! - Calculated volume: 77.01 Å³ per cell
! - DFT total energy: -13.65 eV/f.u.
&SYSTEM
  ibrav = 0, nat = 4, ntyp = 3
/
ATOMIC_SPECIES
Rh 102.91 Rh.upf
Hg 200.59 Hg.upf
K 39.10 K.upf
CELL_PARAMETERS angstrom
2.946 0.000 0.000
0.000 5.163 0.000
0.000 0.000 5.064
ATOMIC_POSITIONS angstrom
Rh 1.473 2.581 0.000
Rh 0.000 0.000 0.000
Hg 1.473 0.000 2.532
K 0.000 2.581 2.532

! BeIn2Cu (PBE, optimized geometry); values from VASP
! - Formation energy: 1.6 eV per formula unit
! - Magnetization: 0.000 μB/atom
! - Calculated volume: 70.09 Å³ per cell
! - DFT total energy: -11.71 eV/f.u.
&SYSTEM
  ibrav = 0, nat = 4, ntyp = 3
/
ATOMIC_SPECIES
Be 9.01 Be.upf
Cu 63.55 Cu.upf
In 114.82 In.upf
CELL_PARAMETERS angstrom
-0.830 4.503 -1.886
-2.793 -0.689 -4.031
-0.646 -1.666 4.619
ATOMIC_POSITIONS angstrom
Be -1.644 2.372 -0.113
Cu -2.625 -0.224 -1.185
In 0.000 0.000 -0.001
In -1.811 1.907 -2.958

! AgBi3Os (PBE, optimized geometry); values from VASP
! - Relative energy among the computed polymorphs: 0.0 meV per atom
! - Formation energy: 4.1 eV per formula unit
! - Magnetization: 0.000 μB/atom
! - Calculated volume: 150.90 Å³ per cell
! - DFT total energy: -21.65 eV/f.u.
&SYSTEM
  ibrav = 0, nat = 5, ntyp = 3
/
ATOMIC_SPECIES
Bi 208.98 Bi.upf
Ag 107.87 Ag.upf
Os 190.23 Os.upf
CELL_PARAMETERS angstrom
-4.126 2.710 -1.995
-3.133 -4.245 0.712
-1.228 1.725 4.885
ATOMIC_POSITIONS angstrom
Bi -1.566 -2.123 0.356
Bi -2.063 1.355 -0.997
Bi -0.614 0.863 2.442
Ag -4.243 0.095 1.801
Os 0.000 0.000 0.000

The highest DFT total energy belongs to which entry?
BeIn2Cu